No. 1
Below is an optimized crystal structure of NdTm3Pd12, with properties calculated at the GGA-PBE level.

Structure (CIF):
```
data_NdTm3Pd12
_chemical_formula_sum 'Nd1 Tm3 Pd12'
_space_group_name_H-M_alt 'P 4/m m m'
_space_group_IT_number 123
_space_group_name_Hall '-P 4 2'
_cell_length_a 4.120
_cell_length_b 4.120
_cell_length_c 16.509
_cell_angle_alpha 90.00
_cell_angle_beta 90.00
_cell_angle_gamma 90.00
loop_
_atom_site_label
_atom_site_type_symbol
_atom_site_fract_x
_atom_site_fract_y
_atom_site_fract_z
_atom_site_occupancy
Nd1 Nd 0.000 0.000 0.000 1
Tm1 Tm 0.000 0.000 0.254 1
Tm2 Tm 0.000 0.000 0.500 1
Pd1 Pd 0.000 0.500 0.131 1
Pd2 Pd 0.000 0.500 0.377 1
Pd3 Pd 0.500 0.500 0.000 1
Pd4 Pd 0.500 0.500 0.253 1
Pd5 Pd 0.500 0.500 0.500 1
```

Output
Total magnetization, μB/f.u.: 0.00
E_form, eV/atom: -0.874

=====

No. 2
Below is an optimized crystal structure of NdTm2Pd9, with properties calculated at the GGA-PBE level.

Structure (CIF):
```
data_NdTm2Pd9
_chemical_formula_sum 'Nd1 Tm2 Pd9'
_space_group_name_H-M_alt 'P 4/m m m'
_space_group_IT_number 123
_space_group_name_Hall '-P 4 2'
_cell_length_a 4.139
_cell_length_b 4.139
_cell_length_c 12.345
_cell_angle_alpha 90.00
_cell_angle_beta 90.00
_cell_angle_gamma 90.00
loop_
_atom_site_label
_atom_site_type_symbol
_atom_site_fract_x
_atom_site_fract_y
_atom_site_fract_z
_atom_site_occupancy
Nd1 Nd 0.000 0.000 0.000 1
Tm1 Tm 0.000 0.000 0.338 1
Pd1 Pd 0.000 0.500 0.174 1
Pd2 Pd 0.000 0.500 0.500 1
Pd3 Pd 0.500 0.500 0.000 1
Pd4 Pd 0.500 0.500 0.336 1
```

Output
Total magnetization, μB/f.u.: 0.00
E_form, eV/atom: -0.858